6
Lattice="7.3073 0.0018 -0.1660 6.2135 3.8456 -0.1660 3.0489 0.8676 5.2646" Properties=species:S:1:pos:R:3 comment="PBE Ag2Br, relaxed" final_energy_ev_per_atom=-2.5878 volume_a3_per_cell=150 polymorph_energy_ev_per_atom=0.029 pbc="T T T"
Ag 13.5241 3.8484 2.6443
Br 10.7757 3.0663 3.2767
Ag 6.0763 1.7291 0.9094
Br 6.9060 1.9651 4.8916
Ag 1.1087 0.3155 0.2594
Ag 8.5565 2.4348 1.9943

10
Lattice="9.8441 0.0000 0.0000 0.0000 9.8441 0.0000 0.0000 0.0000 4.0133" Properties=species:S:1:pos:R:3 comment="PBE Cs2AgCl2, relaxed" final_energy_ev_per_atom=-2.7136 volume_a3_per_cell=389 polymorph_energy_ev_per_atom=0.000 pbc="T T T"
Cs 1.4448 3.4772 0.0000
Cl 1.4760 6.3981 2.0067
Cs 3.4772 8.3993 0.0000
Cs 6.3669 1.4448 0.0000
Ag 4.9221 4.9221 0.0000
Cl 8.3681 3.4460 2.0067
Cl 3.4460 1.4760 2.0067
Cl 6.3981 8.3681 2.0067
Ag 0.0000 0.0000 0.0000
Cs 8.3993 6.3669 0.0000

12
Lattice="3.2849 0.0000 0.0000 0.0000 7.2453 0.5293 0.0000 -2.2278 6.8966" Properties=species:S:1:pos:R:3 comment="PBE PrZrMnN3, relaxed" final_energy_ev_per_atom=-8.9642 volume_a3_per_cell=168 pbc="T T T"
Pr 0.8212 0.9167 1.5388
Zr 0.8212 4.3549 1.4358
N 0.8212 -0.9958 5.9705
Pr 2.4637 4.1009 5.8871
Zr 2.4637 0.6627 5.9901
N 2.4637 0.2070 3.5680
N 0.8212 2.1871 6.1327
N 0.8212 4.8105 3.8579
N 2.4637 2.8305 1.2933
N 2.4637 6.0134 1.4554
Mn 0.8212 -0.7343 4.1433
Mn 2.4637 5.7519 3.2826

5
Lattice="-1.7902 -2.6615 -2.2111 2.4717 -2.7258 1.2798 -3.8978 1.4968 4.7863" Properties=species:S:1:pos:R:3 comment="PBE TbTiBeIr2, relaxed" final_energy_ev_per_atom=-7.4851 ef_ev_per_atom=-0.69 volume_a3_per_cell=87 pbc="T T T"
Ti -0.5427 -1.9613 2.8002
Ir -0.4889 -2.9728 0.5421
Tb 0.0000 0.0000 0.0000
Ir -2.7274 -0.9177 3.3129
Be -2.6736 -1.9292 1.0548

4
Lattice="-2.5283 0.9223 -3.4757 -1.0902 -4.2438 -0.3331 -3.4270 0.6708 2.6708" Properties=species:S:1:pos:R:3 comment="PBE YCd2W, relaxed" final_energy_ev_per_atom=-4.8945 ef_ev_per_atom=0.42 volume_a3_per_cell=85 polymorph_energy_ev_per_atom=0.106 pbc="T T T"
W -2.9776 0.7965 -0.4025
Cd 0.0000 0.0000 0.0000
Cd -1.8092 -1.6608 -1.9044
Y -2.2586 -1.7865 1.1689

4
Lattice="-2.1418 -2.8690 -1.1147 0.3848 -1.3936 -3.4599 4.6816 -6.3524 1.0472" Properties=species:S:1:pos:R:3 comment="PBE TiTlAs2, relaxed" final_energy_ev_per_atom=-5.2107 ef_ev_per_atom=-0.32 volume_a3_per_cell=93 polymorph_energy_ev_per_atom=0.020 pbc="T T T"
Tl 1.4564 -5.3020 -1.7665
Ti 3.5015 -9.1860 -2.0067
As 3.7108 -5.4435 0.5732
As 0.3996 -2.3433 -1.0437

6
Lattice="-3.5961 -1.8663 2.9050 2.9650 0.4805 3.9790 -3.2122 8.3462 1.3857" Properties=species:S:1:pos:R:3 comment="PBE CaNdSm, relaxed" final_energy_ev_per_atom=-3.5826 ef_ev_per_atom=0.25 volume_a3_per_cell=225 polymorph_energy_ev_per_atom=0.218 pbc="T T T"
Nd 0.0000 0.0000 0.0000
Ca 0.4370 2.9568 2.4405
Sm -2.7040 1.4209 1.8433
Nd -0.3156 -0.6929 3.4420
Ca -3.9647 4.6965 2.3872
Sm -0.8237 6.2324 2.9843

11
Lattice="5.2468 0.0000 0.0000 2.6234 6.5027 -0.2243 2.6234 1.4206 5.8888" Properties=species:S:1:pos:R:3 comment="PBE Ca2Zn5Cu4, relaxed" final_energy_ev_per_atom=-2.5534 ef_ev_per_atom=-0.12 volume_a3_per_cell=203 pbc="T T T"
Zn 2.6234 3.9616 2.8322
Zn 6.5654 5.1215 0.8487
Zn 3.9283 2.8018 4.8158
Cu 7.8703 4.8858 5.2102
Zn 3.9283 5.1215 0.8487
Cu 7.8703 7.2239 4.5894
Cu 2.6234 3.0374 0.4543
Cu 2.6234 0.6993 1.0751
Zn 6.5654 2.8018 4.8158
Ca 5.2468 1.9090 1.9583
Ca 5.2468 6.0142 3.7061

18
Lattice="6.5809 0.0000 2.3888 0.0000 6.9108 0.0000 0.3837 0.0000 9.2022" Properties=species:S:1:pos:R:3 comment="PBE Mg5Zn2Pb2, relaxed" final_energy_ev_per_atom=-2.0372 ef_ev_per_atom=-0.04 volume_a3_per_cell=412 pbc="T T T"
Mg 3.2283 1.1835 8.1218
Mg 3.7364 5.7273 3.4692
Mg 1.4892 1.1835 2.6535
Mg 0.4459 4.6389 2.2748
Mg 4.7797 2.2719 3.8479
Zn 4.1384 0.8740 1.5022
Mg 2.1850 4.6389 7.7431
Mg 6.5187 2.2719 9.3162
Pb 5.0031 3.4554 6.7357
Mg 5.4755 5.7273 8.9375
Pb 1.9616 3.4554 4.8553
Mg 0.0000 0.0000 0.0000
Pb 5.2521 0.0000 6.0498
Mg 3.2905 3.4554 1.1944
Zn 5.7330 4.3294 2.0810
Zn 0.8479 2.5814 0.3078
Zn 2.4425 6.0368 0.8866
Pb 1.7126 0.0000 5.5413

8
Lattice="-0.5869 2.5885 4.1646 2.4659 -1.2924 4.0789 7.1567 5.6198 0.4437" Properties=species:S:1:pos:R:3 comment="PBE LiPmSc2Hg4, relaxed" final_energy_ev_per_atom=-2.9675 ef_ev_per_atom=-0.40 volume_a3_per_cell=183 pbc="T T T"
Li 4.5178 3.4580 4.3436
Pm 0.0000 0.0000 0.0000
Hg 2.3249 1.7159 5.1173
Sc 6.6272 5.0681 6.5681
Hg 4.6420 3.6221 1.3309
Hg 4.3937 3.2938 7.3562
Sc 2.4085 1.8478 2.1190
Hg 6.7108 5.2000 3.5698

4
Lattice="-0.8399 -1.4604 4.3359 -3.9789 -2.1998 0.9836 0.0358 -4.5493 0.9699" Properties=species:S:1:pos:R:3 comment="PBE ReAs2Br, relaxed" final_energy_ev_per_atom=-4.8019 volume_a3_per_cell=71 polymorph_energy_ev_per_atom=0.907 pbc="T T T"
As -3.5872 -6.1571 4.7171
Re -2.3915 -4.1047 3.1447
Br 0.0000 0.0000 0.0000
As -1.1957 -2.0524 1.5724

12
Lattice="-4.2802 -2.7067 -1.7905 2.1757 -3.6183 0.2689 -2.5456 -0.9695 7.5507" Properties=species:S:1:pos:R:3 comment="PBE Os2W, relaxed" final_energy_ev_per_atom=-11.6767 ef_ev_per_atom=0.13 volume_a3_per_cell=182 polymorph_energy_ev_per_atom=0.128 pbc="T T T"
W -3.9270 -3.3439 3.4168
W -2.1294 -5.0244 -0.4596
Os -3.0647 -5.4047 1.9915
Os 0.0212 -3.6911 0.0813
Os -2.1018 -4.6145 4.8327
Os -4.6713 -3.6034 5.9479
Os -4.4007 -6.0284 4.4087
Os -0.2494 -1.2661 1.6204
Os -1.5854 -1.8898 4.0376
Os -2.5483 -2.6800 1.1964
W -2.5207 -2.2701 6.4888
W -0.7231 -3.9506 2.6123